No. 1
Below is an optimized crystal structure of AlCuS3, with properties calculated at the PBE-GGA level.

Computed properties:
Distance to the lowest polymorph of the same formula in eV per atom: 0.000
DOS at the Fermi energy in states/eV/atom: 0.881

abc: 4.5767 4.5767 4.5767
angles: 90.00 90.00 90.00
With the nearest neighbours (Å) after each atom.
Element x y z (fractional)
Al (0.0000, 0.0000, 0.0000)  6 S 2.29
Cu (0.5000, 0.5000, 0.5000)  12 S 3.24
S (0.0000, 0.0000, 0.5000)  2 Al 2.29
S (0.0000, 0.5000, 0.0000)  2 Al 2.29
S (0.5000, 0.0000, 0.0000)  2 Al 2.29

=====

No. 2
Below is an optimized crystal structure of Al2Cu3S6, with properties calculated at the PBE-GGA level.

Computed properties:
DOS at the Fermi energy in states/eV/atom: 0.799

abc: 16.2934 16.2934 16.2934
angles: 161.63 161.63 26.10
With the nearest neighbours (Å) after each atom.
Element x y z (fractional)
Al (0.1695, 0.1695, 0.0000)  4 S 2.24-2.32
Al (0.5805, 0.0805, 0.5000)  4 S 2.24-2.32
Al (0.8305, 0.8305, 0.0000)  4 S 2.24-2.32
Al (0.9195, 0.4195, 0.5000)  4 S 2.24-2.32
Cu (0.0000, 0.0000, 0.0000)  4 S 2.28
Cu (0.0815, 0.5815, 0.5000)  4 S 2.25-2.30
Cu (0.3315, 0.3315, 0.0000)  4 S 2.25-2.30
Cu (0.4185, 0.9185, 0.5000)  4 S 2.25-2.30
Cu (0.6685, 0.6685, 0.0000)  4 S 2.25-2.30
Cu (0.7500, 0.2500, 0.5000)  4 S 2.28
S (0.0475, 0.5451, 0.0117)  1 Al 2.24, 2 Cu 2.25-2.28
S (0.1250, 0.1250, 0.5000)  2 Cu 2.30, 2 Al 2.32
S (0.2165, 0.7049, 0.0024)  1 Al 2.24, 2 Cu 2.25-2.28
S (0.2951, 0.2975, 0.5117)  1 Al 2.24, 2 Cu 2.25-2.28
S (0.3750, 0.8750, 0.0000)  2 Cu 2.30, 2 Al 2.32
S (0.4549, 0.4665, 0.5024)  1 Al 2.24, 2 Cu 2.25-2.28
S (0.5335, 0.0359, 0.9883)  1 Al 2.24, 2 Cu 2.25-2.28
S (0.6250, 0.6250, 0.5000)  2 Cu 2.30, 2 Al 2.32
S (0.7025, 0.2141, 0.9976)  1 Al 2.24, 2 Cu 2.25-2.28
S (0.7859, 0.7835, 0.4883)  1 Al 2.24, 2 Cu 2.25-2.28
S (0.8750, 0.3750, 0.0000)  2 Cu 2.30, 2 Al 2.32
S (0.9641, 0.9525, 0.4976)  1 Al 2.24, 2 Cu 2.25-2.28

=====

No. 3
Below is an optimized crystal structure of Al2CuS4, with properties calculated at the PBE-GGA level.

Computed properties:
DOS at the Fermi energy in states/eV/atom: 0.831

abc: 6.6375 6.6375 6.6375
angles: 135.05 135.05 65.46
With the nearest neighbours (Å) after each atom.
Element x y z (fractional)
Al (0.2500, 0.7500, 0.5000)  4 S 2.28
Al (0.7500, 0.2500, 0.5000)  4 S 2.28
Cu (0.0000, 0.0000, 0.0000)  4 S 2.31
S (0.1321, 0.6182, 0.0000)  2 Al 2.28, 1 Cu 2.31
S (0.3818, 0.3818, 0.5140)  2 Al 2.28, 1 Cu 2.31
S (0.6182, 0.1321, 0.0000)  2 Al 2.28, 1 Cu 2.31
S (0.8679, 0.8679, 0.4860)  2 Al 2.28, 1 Cu 2.31

=====

No. 4
Below is an optimized crystal structure of AlCu2S, with properties calculated at the PBE-GGA level.

Computed properties:
Distance to the lowest polymorph of the same formula in eV per atom: 0.000
DOS at the Fermi energy in states/eV/atom: 0.579

abc: 6.1818 6.1818 6.1818
angles: 124.59 124.59 82.22
With the nearest neighbours (Å) after each atom.
Element x y z (fractional)
Al (0.0000, 0.0000, 0.0000)  4 Cu 2.49
Al (0.7500, 0.2500, 0.5000)  4 Cu 2.49
Cu (0.1657, 0.6250, 0.0407)  2 S 2.21
Cu (0.3750, 0.4157, 0.5407)  2 S 2.21
Cu (0.5843, 0.1250, 0.9593)  2 S 2.21
Cu (0.8750, 0.8343, 0.4593)  2 S 2.21
S (0.2500, 0.7500, 0.5000)  4 Cu 2.21
S (0.5000, 0.5000, 0.0000)  4 Cu 2.21

=====

No. 5
Below is an optimized crystal structure of AlCu2S, with properties calculated at the PBE-GGA level.

Computed properties:
Distance to the lowest polymorph of the same formula in eV per atom: 0.144
DOS at the Fermi energy in states/eV/atom: 0.811

abc: 4.3734 4.3734 4.3734
angles: 60.00 60.00 60.00
With the nearest neighbours (Å) after each atom.
Element x y z (fractional)
Al (0.0000, 0.0000, 0.0000)  8 Cu 2.68
Cu (0.2500, 0.2500, 0.2500)  4 S 2.68, 4 Al 2.68
Cu (0.7500, 0.7500, 0.7500)  4 S 2.68, 4 Al 2.68
S (0.5000, 0.5000, 0.5000)  8 Cu 2.68

=====

No. 6
Below is an optimized crystal structure of Al2CuSbS, with properties calculated at the PBE-GGA level.

Computed properties:
DOS at the Fermi energy in states/eV/atom: 0.349

abc: 4.5332 4.5332 5.2232
angles: 90.00 90.00 90.00
With the nearest neighbours (Å) after each atom.
Element x y z (fractional)
Al (0.0000, 0.5000, 0.0000)  2 Cu 2.27
Al (0.5000, 0.0000, 0.0000)  2 Cu 2.27
Cu (0.0000, 0.0000, 0.0000)  4 Al 2.27
Sb (0.0000, 0.0000, 0.5000)  2 Cu 2.61
S (0.5000, 0.5000, 0.5000)  4 Sb 3.21, 8 Al 3.46

=====

No. 7
Below is an optimized crystal structure of AlCuSeS, with properties calculated at the PBE-GGA level.

Computed properties:
Distance to the lowest polymorph of the same formula in eV per atom: 0.000

abc: 6.6687 6.6687 6.6687
angles: 131.46 131.42 71.11
With the nearest neighbours (Å) after each atom.
Element x y z (fractional)
Al (0.1301, 0.3801, 0.7500)  2 S 2.30, 2 Se 2.41
Al (0.3699, 0.1199, 0.2500)  2 S 2.30, 2 Se 2.41
Cu (0.6391, 0.8891, 0.7500)  2 S 2.32, 2 Se 2.45
Cu (0.8609, 0.6109, 0.2500)  2 S 2.32, 2 Se 2.45
Se (0.2500, 0.9973, 0.7473)  2 Al 2.41, 2 Cu 2.45
Se (0.7500, 0.5027, 0.7527)  2 Al 2.41, 2 Cu 2.45
S (0.0107, 0.2500, 0.2607)  2 Al 2.30, 2 Cu 2.32
S (0.4893, 0.7500, 0.2393)  2 Al 2.30, 2 Cu 2.32

=====

No. 8
Below is an optimized crystal structure of AlCuSeS, with properties calculated at the PBE-GGA level.

Computed properties:
Distance to the lowest polymorph of the same formula in eV per atom: 0.136
DOS at the Fermi energy in states/eV/atom: 0.173

abc: 3.9115 3.9115 6.6495
angles: 107.11 107.11 59.96
With the nearest neighbours (Å) after each atom.
Element x y z (fractional)
Al (0.0000, 0.0000, 0.0000)  1 Se 2.31, 3 S 2.42-2.43
Cu (0.4932, 0.4932, 0.4845)  1 S 2.34, 3 Se 2.37
Se (0.1220, 0.1220, 0.3700)  1 Al 2.31, 3 Cu 2.37
S (0.6195, 0.6195, 0.8585)  1 Cu 2.34, 3 Al 2.42-2.43

=====

no.,ΔE_f (raw) (eV/atom),total energy (eV per atom)
1,0.311,-3.733
2,-0.507,-4.556
3,-0.773,-4.786
4,0.139,-3.876
5,0.283,-3.732
6,0.285,-3.681
7,-0.714,-4.576
8,-0.578,-4.440